[1]
Compound: K2ZnTe3
Source: the Alexandria database
Functional: PBE
Structure: optimized geometry

a b c (Å): 4.7207 7.4898 25.2836
angles (deg): 90.00 90.00 90.00
Fractional coordinates of all 24 atoms:
K 0.2500 0.6660 0.5778
K 0.7500 0.8340 0.0778
K 0.2500 0.1660 0.9222
K 0.7500 0.3340 0.4222
K 0.2500 0.7592 0.7767
K 0.7500 0.7408 0.2767
K 0.2500 0.2592 0.7233
K 0.7500 0.2408 0.2233
Zn 0.2500 0.9686 0.4492
Zn 0.7500 0.5314 0.9492
Zn 0.2500 0.4686 0.0508
Zn 0.7500 0.0314 0.5508
Te 0.2500 0.7149 0.9725
Te 0.7500 0.7851 0.4725
Te 0.2500 0.2149 0.5275
Te 0.7500 0.2851 0.0275
Te 0.2500 0.9009 0.1790
Te 0.7500 0.5991 0.6790
Te 0.2500 0.4009 0.3210
Te 0.7500 0.0991 0.8210
Te 0.2500 0.5367 0.1546
Te 0.7500 0.9633 0.6546
Te 0.2500 0.0367 0.3454
Te 0.7500 0.4633 0.8454

- Magnetization: 0.0 μB per formula unit
- Formation energy (no corrections): -389 kJ/mol of formula units
- Space-group type: Pnma (62)


[2]
Compound: MoPt3
Source: the Alexandria database
Functional: PBE
Structure: optimized geometry

a b c (Å): 5.0409 5.0409 5.0409
angles (deg): 90.00 90.00 90.00
Fractional coordinates of all 8 atoms:
Mo 0.0000 0.0000 0.0000
Mo 0.5000 0.5000 0.5000
Pt 0.0000 0.2500 0.5000
Pt 0.0000 0.7500 0.5000
Pt 0.2500 0.5000 0.0000
Pt 0.5000 0.0000 0.2500
Pt 0.5000 0.0000 0.7500
Pt 0.7500 0.5000 0.0000

- Formation enthalpy at 0 K: -0.129 eV/atom
- Magnetization: 0.0 μB per formula unit
- Space-group type: Pm-3n (223)


[3]
Compound: SmMnPd6
Source: the Alexandria database
Functional: PBE
Structure: optimized geometry

a b c (Å): 4.0827 4.0827 7.9948
angles (deg): 90.00 90.00 90.00
Site moments in Bohr magnetons follow the coordinates.
Fractional coordinates of all 8 atoms:
Sm 0.0000 0.0000 0.0000  -0.02
Mn 0.0000 0.0000 0.5000  3.94
Pd 0.5000 0.5000 0.0000  0.00
Pd 0.5000 0.5000 0.5000  0.03
Pd 0.5000 0.0000 0.2674  0.06
Pd 0.5000 0.0000 0.7326  0.06
Pd 0.0000 0.5000 0.2674  0.06
Pd 0.0000 0.5000 0.7326  0.06

- Distance to the lowest polymorph of the same formula: 0.000 eV per atom
- Formation enthalpy at 0 K: -0.486 eV/atom
- Magnetization: 4.2 μB per formula unit
- Space-group type: P4/mmm (123)


[4]
Compound: PPdSe
Source: the Alexandria database
Functional: PBE
Structure: optimized geometry

a b c (Å): 5.9858 6.2047 6.2437
angles (deg): 101.70 90.00 90.00
Fractional coordinates of all 12 atoms:
P 0.6167 0.8531 0.6427
P 0.3833 0.1469 0.3573
P 0.1167 0.6469 0.3573
P 0.8833 0.3531 0.6427
Pd 0.0153 0.2588 0.2691
Pd 0.4847 0.7588 0.2691
Pd 0.9847 0.7412 0.7309
Pd 0.5153 0.2412 0.7309
Se 0.6099 0.3377 0.1593
Se 0.3901 0.6623 0.8407
Se 0.8901 0.8377 0.1593
Se 0.1099 0.1623 0.8407

- Magnetization: 0.0 μB per formula unit
- Formation energy (no corrections): -89 kJ/mol of formula units
- Space-group type: P2_1/c (14)


[5]
Compound: TaZnRuPt
Source: the Alexandria database
Functional: PBE
Structure: optimized geometry

a b c (Å): 4.4327 4.4327 4.4327
angles (deg): 60.00 60.00 60.00
Fractional coordinates of all 4 atoms:
Ru 0.7500 0.7500 0.7500
Zn 0.5000 0.5000 0.5000
Pt 0.2500 0.2500 0.2500
Ta 0.0000 0.0000 0.0000

- Formation enthalpy at 0 K: -0.404 eV/atom
- Magnetization: 0.0 μB per formula unit
- Space-group type: F-43m (216)


[6]
Compound: AcZn2Pd
Source: the Alexandria database
Functional: PBE
Structure: optimized geometry

a b c (Å): 3.4759 3.4759 7.0377
angles (deg): 90.00 90.00 90.00
Fractional coordinates of all 4 atoms:
Ac 0.5000 0.5000 0.5000
Zn 0.0000 0.0000 0.8210
Zn 0.0000 0.0000 0.1790
Pd 0.5000 0.5000 0.0000

- Distance to the lowest polymorph of the same formula: 0.237 eV per atom
- Formation enthalpy at 0 K: -0.308 eV/atom
- Magnetization: 0.0 μB per formula unit
- Space-group type: P4/mmm (123)


[7]
Compound: NaIn10Pd3
Source: the Alexandria database
Functional: PBE
Structure: optimized geometry

a b c (Å): 9.9657 9.9657 9.9657
angles (deg): 60.00 60.00 60.00
Fractional coordinates of all 28 atoms:
Na 0.2500 0.2500 0.2500
Na 0.7500 0.7500 0.7500
In 0.0000 0.0000 0.3436
In 0.0000 0.3436 0.0000
In 0.3436 0.0000 0.0000
In 0.6564 0.3436 0.0000
In 0.3858 0.3858 0.3858
In 0.1574 0.6142 0.6142
In 0.3858 0.8426 0.3858
In 0.6564 0.0000 0.3436
In 0.3858 0.3858 0.8426
In 0.8426 0.3858 0.3858
In 0.6142 0.6142 0.1574
In 0.0000 0.0000 0.6564
In 0.3436 0.6564 0.0000
In 0.0000 0.6564 0.3436
In 0.0000 0.3436 0.6564
In 0.6564 0.0000 0.0000
In 0.6142 0.6142 0.6142
In 0.0000 0.6564 0.0000
In 0.6142 0.1574 0.6142
In 0.3436 0.0000 0.6564
Pd 0.7355 0.7355 0.2645
Pd 0.7355 0.2645 0.7355
Pd 0.2645 0.7355 0.7355
Pd 0.2645 0.2645 0.7355
Pd 0.7355 0.2645 0.2645
Pd 0.2645 0.7355 0.2645

- Formation enthalpy at 0 K: -0.214 eV/atom
- Magnetization: 0.0 μB per formula unit
- Space-group type: Fm-3m (225)


[8]
Compound: SmDySnPd
Source: the Alexandria database
Functional: PBE
Structure: optimized geometry

a b c (Å): 5.2121 5.2121 5.2121
angles (deg): 60.00 60.00 60.00
Fractional coordinates of all 4 atoms:
Pd 0.7500 0.7500 0.7500
Sn 0.2500 0.2500 0.2500
Sm 0.5000 0.5000 0.5000
Dy 0.0000 0.0000 0.0000

- Formation enthalpy at 0 K: -0.720 eV/atom
- Magnetization: 0.0 μB per formula unit
- Space-group type: F-43m (216)


[9]
Compound: Ac2NpMnSe5
Source: the Alexandria database
Functional: PBE
Structure: optimized geometry

a b c (Å): 4.2778 9.3215 12.6775
angles (deg): 90.00 90.00 103.27
Site moments in Bohr magnetons follow the coordinates.
Fractional coordinates of all 18 atoms:
Ac 0.8719 0.7439 0.8169  0.05
Ac 0.1150 0.2299 0.6910  0.01
Ac 0.1281 0.2561 0.3169  0.05
Ac 0.8850 0.7701 0.1910  0.01
Np 0.8011 0.6023 0.5144  4.04
Np 0.1989 0.3977 0.0144  4.04
Mn 0.5555 0.1110 0.9473  3.98
Mn 0.4445 0.8890 0.4473  3.98
Se 0.3597 0.7195 0.0056  -0.01
Se 0.6865 0.3731 0.8569  -0.01
Se 0.4962 0.9923 0.7708  0.03
Se 0.2931 0.5862 0.6706  -0.03
Se 0.9581 0.9163 0.5504  0.00
Se 0.6403 0.2805 0.5056  -0.01
Se 0.3135 0.6269 0.3569  -0.01
Se 0.5038 0.0077 0.2708  0.03
Se 0.7069 0.4138 0.1706  -0.03
Se 0.0419 0.0837 0.0504  0.00

- Magnetization: 8.9 μB per formula unit
- Formation energy (no corrections): -1236 kJ/mol of formula units
- Space-group type: Cmc2_1 (36)


[10]
Compound: MoW4
Source: the Alexandria database
Functional: PBE
Structure: optimized geometry

a b c (Å): 6.3384 6.3384 6.3384
angles (deg): 142.51 142.51 54.06
Fractional coordinates of all 5 atoms:
Mo 0.0000 0.0000 0.0000
W 0.2500 0.7500 0.5000
W 0.6109 0.6109 0.0000
W 0.3891 0.3891 0.0000
W 0.7500 0.2500 0.5000

- Distance to the lowest polymorph of the same formula: 1.240 eV per atom
- Formation enthalpy at 0 K: 1.232 eV/atom
- Magnetization: 0.0 μB per formula unit
- Space-group type: I4/mmm (139)


[11]
Compound: NaIr3I
Source: the Alexandria database
Functional: PBE
Structure: optimized geometry

a b c (Å): 4.6405 4.6405 4.6405
angles (deg): 90.00 90.00 90.00
Site moments in Bohr magnetons follow the coordinates.
Fractional coordinates of all 5 atoms:
I 0.5000 0.5000 0.5000  0.09
Na 0.0000 0.0000 0.0000  0.00
Ir 0.0000 0.5000 0.0000  0.38
Ir 0.0000 0.0000 0.5000  0.30
Ir 0.5000 0.0000 0.0000  0.27

- Distance to the lowest polymorph of the same formula: 0.782 eV per atom
- Magnetization: 1.1 μB per formula unit
- Formation energy (no corrections): 1178 kJ/mol of formula units
- Space-group type: Pm-3m (221)


[12]
Compound: MnCd
Source: the Alexandria database
Functional: PBE
Structure: optimized geometry

a b c (Å): 2.9829 2.9829 9.3774
angles (deg): 90.00 90.00 120.00
Site moments in Bohr magnetons follow the coordinates.
Fractional coordinates of all 4 atoms:
Cd 0.0000 0.0000 0.0000  -0.05
Cd 0.0000 0.0000 0.5000  -0.05
Mn 0.3333 0.6667 0.2500  3.60
Mn 0.6667 0.3333 0.7500  3.60

- Formation enthalpy at 0 K: 0.365 eV/atom
- Magnetization: 3.7 μB per formula unit
- Space-group type: P6_3/mmc (194)


[13]
Compound: Tl2CuAs
Source: the Alexandria database
Functional: PBE
Structure: optimized geometry

a b c (Å): 3.2629 3.2629 8.4847
angles (deg): 90.00 90.00 90.00
Fractional coordinates of all 4 atoms:
As 0.5000 0.5000 0.2500
Cu 0.5000 0.5000 0.7500
Tl 0.0000 0.0000 0.9711
Tl 0.0000 0.0000 0.5289

- Distance to the lowest polymorph of the same formula: 0.367 eV per atom
- Formation enthalpy at 0 K: 0.338 eV/atom
- Magnetization: 0.0 μB per formula unit
- Space-group type: P4/mmm (123)


[14]
Compound: CeTh8
Source: the Alexandria database
Functional: PBE
Structure: optimized geometry

a b c (Å): 3.5515 9.1441 9.1441
angles (deg): 87.84 78.80 78.80
Fractional coordinates of all 9 atoms:
Ce 0.0000 0.0000 0.0000
Th 0.6643 0.0000 0.6713
Th 0.3357 0.0000 0.3287
Th 0.3333 0.6667 0.6667
Th 0.6643 0.6713 0.0000
Th 0.0000 0.6667 0.3333
Th 0.3357 0.3287 0.0000
Th 0.6667 0.3333 0.3333
Th 0.0000 0.3333 0.6667

- Formation enthalpy at 0 K: 0.107 eV/atom
- Magnetization: 0.0 μB per formula unit
- Space-group type: I4/mmm (139)


[15]
Compound: Li2AlAsSe4
Source: the Alexandria database
Functional: PBE
Structure: optimized geometry

a b c (Å): 5.9757 5.9761 7.1057
angles (deg): 114.96 114.93 90.01
Fractional coordinates of all 8 atoms:
Li 0.4858 0.9857 0.9717
Li 0.2356 0.2357 0.4717
Al 0.9858 0.4860 0.9718
As 0.7358 0.7357 0.4718
Se 0.6257 0.6004 0.7352
Se 0.8718 0.3628 0.2086
Se 0.3376 0.8464 0.2088
Se 0.1089 0.1344 0.7346

- Magnetization: 0.0 μB per formula unit
- Formation energy (no corrections): -577 kJ/mol of formula units
- Space-group type: P1 (1)


[16]
Compound: LaCuSn
Source: the Alexandria database
Functional: PBE
Structure: optimized geometry

a b c (Å): 5.2684 6.2282 6.1425
angles (deg): 120.71 90.11 64.99
Fractional coordinates of all 6 atoms:
Sn 0.6638 0.0316 0.7062
Sn 0.1959 0.9680 0.3292
Cu 0.9163 0.5275 0.6615
Cu 0.6878 0.9803 0.1184
La 0.3872 0.5854 0.6501
La 0.9661 0.4272 0.0958

- Formation enthalpy at 0 K: -0.335 eV/atom
- Magnetization: 0.0 μB per formula unit
- Space-group type: P1 (1)


[17]
Compound: LaZr2Al
Source: the Alexandria database
Functional: PBE
Structure: optimized geometry

a b c (Å): 5.1307 5.1307 5.1307
angles (deg): 60.00 60.00 60.00
Fractional coordinates of all 4 atoms:
Al 0.5000 0.5000 0.5000
Zr 0.0000 0.0000 0.0000
Zr 0.2500 0.2500 0.2500
La 0.7500 0.7500 0.7500

- Formation enthalpy at 0 K: -0.022 eV/atom
- Magnetization: 0.0 μB per formula unit
- Space-group type: F-43m (216)


[18]
Compound: Sn3MoPd
Source: the Alexandria database
Functional: PBE
Structure: optimized geometry

a b c (Å): 5.1962 5.1962 5.1962
angles (deg): 90.00 90.00 90.00
Fractional coordinates of all 5 atoms:
Mo 0.0000 0.0000 0.0000
Sn 0.0000 0.5000 0.0000
Sn 0.0000 0.0000 0.5000
Sn 0.5000 0.0000 0.0000
Pd 0.5000 0.5000 0.5000

- Distance to the lowest polymorph of the same formula: 0.000 eV per atom
- Formation enthalpy at 0 K: 0.541 eV/atom
- Magnetization: 0.0 μB per formula unit
- Space-group type: Pm-3m (221)


[19]
Compound: NiTe2H
Source: the Alexandria database
Functional: PBE
Structure: optimized geometry

a b c (Å): 4.5611 4.5611 4.5611
angles (deg): 60.00 60.00 60.00
Fractional coordinates of all 4 atoms:
Ni 0.5000 0.5000 0.5000
Te 0.2500 0.2500 0.2500
Te 0.7500 0.7500 0.7500
H 0.0000 0.0000 0.0000

- Distance to the lowest polymorph of the same formula: 0.466 eV per atom
- Magnetization: 0.0 μB per formula unit
- Space-group type: Fm-3m (225)


[20]
Compound: RbScIn3
Source: the Alexandria database
Functional: PBE
Structure: optimized geometry

a b c (Å): 5.7440 5.7440 5.7440
angles (deg): 90.00 90.00 90.00
Fractional coordinates of all 5 atoms:
Sc 0.0000 0.0000 0.0000
Rb 0.5000 0.5000 0.5000
In 0.0000 0.5000 0.0000
In 0.0000 0.0000 0.5000
In 0.5000 0.0000 0.0000

- Distance to the lowest polymorph of the same formula: 0.000 eV per atom
- Formation enthalpy at 0 K: 0.154 eV/atom
- Magnetization: 0.0 μB per formula unit
- Space-group type: Pm-3m (221)